# 1
The following is a DFT calculation (GGA-PBE) of a relaxed structure of V2SbBr.

Geometry as POSCAR:
```
V2SbBr
1.0
5.937 0.000 0.000
0.000 5.937 0.000
2.969 2.969 6.365
Sb V Br
2 4 2
Cartesian
5.937 2.969 3.182 Sb
0.000 0.000 0.000 Sb
7.422 7.340 4.773 V
1.566 4.453 1.591 V
4.453 4.534 4.773 V
4.372 1.484 1.591 V
2.969 2.969 0.000 Br
2.969 5.937 3.182 Br
```

Values from the calculation:
Density of states at the Fermi level in states/eV/f.u.: 3.32
ΔE_f (raw) in eV/atom: 0.402
Space group: I-42d, No. 122
Raw total energy in Ha/atom: -0.206

# 2
The following is a DFT calculation (GGA-PBE) of a relaxed structure of Nd4B3Rh12Pb.

Geometry as POSCAR:
```
Nd4B3Rh12Pb
1.0
-2.920 6.809 2.009
2.157 -3.819 6.301
6.087 1.069 -4.554
Nd Rh B Pb
4 12 3 1
Cartesian
2.662 2.030 1.878 Nd
1.079 -1.909 3.150 Nd
-1.460 3.405 1.005 Nd
3.043 0.535 -2.277 Nd
0.410 3.465 3.519 Rh
3.931 -0.627 2.951 Rh
4.914 0.595 0.237 Rh
0.898 2.234 -0.722 Rh
5.906 -1.970 1.251 Rh
-0.216 0.848 2.357 Rh
2.269 5.644 -1.823 Rh
3.644 3.252 -0.836 Rh
-0.546 2.143 5.953 Rh
1.393 4.687 0.805 Rh
1.680 0.808 4.591 Rh
2.338 -0.780 0.495 Rh
4.122 -1.375 0.873 B
-0.381 1.495 4.155 B
1.583 3.939 -1.272 B
0.000 0.000 0.000 Pb
```

Values from the calculation:
Density of states at the Fermi level in states/eV/f.u.: 18.39
ΔH_f (0 K) in kJ per mole of atoms: -44
Space group: Im-3m, No. 229
Raw total energy in Ha/atom: -0.258

# 3
The following is a DFT calculation (GGA-PBE) of a relaxed structure of CaMnSeBr2.

Geometry as POSCAR:
```
CaMnSeBr2
1.0
-2.020 -3.598 -3.995
3.863 1.649 -3.439
3.493 -4.122 1.947
Ca Se Mn Br
1 1 1 2
Cartesian
1.932 0.825 -1.719 Ca
0.000 0.000 0.000 Se
2.668 -3.035 -2.743 Mn
-1.010 -1.799 -1.997 Br
1.746 -2.061 0.974 Br
```

Values from the calculation:
Density of states at the Fermi level in states/eV/f.u.: 1.68
ΔE_f (raw) in eV/atom: 0.060
Space group: P4/mmm, No. 123
Raw total energy in Ha/atom: -0.130

# 4
The following is a DFT calculation (GGA-PBE) of a relaxed structure of CaZr2Cu.

Geometry as POSCAR:
```
CaZr2Cu
1.0
-4.329 1.946 1.181
-0.209 -2.548 3.430
1.980 2.985 2.338
Cu Zr Ca
1 2 1
Cartesian
-1.175 2.465 1.760 Cu
0.885 0.219 2.884 Zr
0.000 0.000 0.000 Zr
-2.269 -0.301 2.306 Ca
```

Values from the calculation:
Density of states at the Fermi level in states/eV/f.u.: 5.86
ΔH_f (0 K) in kJ per mole of atoms: 33
Space group: P4/mmm, No. 123
Raw total energy in Ha/atom: -0.201

# 5
The following is a DFT calculation (GGA-PBE) of a relaxed structure of Sc2NbSiAs.

Geometry as POSCAR:
```
Sc2NbSiAs
1.0
5.072 0.000 0.000
0.000 4.781 0.000
0.000 0.000 5.072
As Si Sc Nb
1 1 2 1
Cartesian
2.536 2.391 2.536 As
0.000 2.391 0.000 Si
2.536 0.000 0.000 Sc
0.000 0.000 2.536 Sc
0.000 0.000 0.000 Nb
```

Values from the calculation:
Density of states at the Fermi level in states/eV/f.u.: 4.85
ΔE_f (raw) in eV/atom: 0.557
Space group: P4/mmm, No. 123
Raw total energy in Ha/atom: -0.221

# 6
The following is a DFT calculation (GGA-PBE) of a relaxed structure of NdTmInAg.

Geometry as POSCAR:
```
NdTmInAg
1.0
-3.950 3.493 -0.615
-4.439 -0.481 2.871
-1.068 3.503 3.843
Nd Tm Ag In
1 1 1 1
Cartesian
-4.729 3.258 3.049 Nd
0.000 0.000 0.000 Tm
-2.364 1.629 1.525 Ag
-7.093 4.886 4.574 In
```

Values from the calculation:
Density of states at the Fermi level in states/eV/f.u.: 3.46
ΔH_f (0 K) in kJ per mole of atoms: -36
Space group: F-43m, No. 216
Raw total energy in Ha/atom: -0.150

# 7
The following is a DFT calculation (GGA-PBE) of a relaxed structure of InIr4Pb.

Geometry as POSCAR:
```
InIr4Pb
1.0
-1.670 -4.931 -1.298
-4.334 -0.635 -3.098
0.538 -1.776 -5.034
Ir In Pb
4 1 1
Cartesian
-2.049 -2.753 -3.535 Ir
-4.218 -3.070 -5.086 Ir
-2.885 -5.220 -4.185 Ir
-1.780 -3.641 -6.054 Ir
0.000 0.000 0.000 In
-4.099 -5.507 -7.073 Pb
```

Values from the calculation:
Density of states at the Fermi level in states/eV/f.u.: 6.24
ΔH_f (0 K) in kJ per mole of atoms: 32
Space group: F-43m, No. 216
Raw total energy in Ha/atom: -0.244

# 8
The following is a DFT calculation (GGA-PBE) of a relaxed structure of Ca2CoAgI.

Geometry as POSCAR:
```
Ca2CoAgI
1.0
5.789 0.000 0.000
0.000 4.758 0.000
0.000 0.000 5.789
Co I Ag Ca
1 1 1 2
Cartesian
0.000 2.379 0.000 Co
2.894 2.379 2.894 I
0.000 0.000 0.000 Ag
2.894 0.000 0.000 Ca
0.000 0.000 2.894 Ca
```

Values from the calculation:
Density of states at the Fermi level in states/eV/f.u.: 6.13
ΔE_f (raw) in eV/atom: 0.089
Space group: P4/mmm, No. 123
Raw total energy in Ha/atom: -0.111

| no. | magnetic moment (μB per atom) | mass density (g/cm³) |
| --- | --- | --- |
| 1 | 1.501 | 4.49 |
| 2 | 0.000 | 9.78 |
| 3 | 0.997 | 3.10 |
| 4 | 0.000 | 5.31 |
| 5 | 0.000 | 3.86 |
| 6 | 0.000 | 8.41 |
| 7 | 0.000 | 16.59 |
| 8 | 0.304 | 3.89 |